! AcInSiS4, relaxed, DFT PBE; values from VASP
&SYSTEM
  ibrav = 0, nat = 14, ntyp = 4
/
ATOMIC_SPECIES
Ac 227.00 Ac.upf
In 114.82 In.upf
Si 28.09 Si.upf
S 32.06 S.upf
ATOMIC_POSITIONS crystal
Ac 0.243 0.250 0.061
Ac 0.757 0.750 0.939
In 0.255 0.250 0.573
In 0.745 0.750 0.427
Si 0.214 0.750 0.809
Si 0.786 0.250 0.191
S 0.014 0.003 0.771
S 0.014 0.497 0.771
S 0.381 0.750 0.057
S 0.401 0.750 0.655
S 0.599 0.250 0.345
S 0.619 0.250 0.943
S 0.986 0.503 0.229
S 0.986 0.997 0.229
CELL_PARAMETERS angstrom
6.878 0.000 0.000
0.000 6.637 0.000
-2.428 0.000 8.420
! space-group type	P2_1/m, No. 11
! magnetization	0.000	μB per formula unit
! DOS at the Fermi energy	0.000	states/eV per atom
! formation energy from raw total energies	-1.185	eV/atom



! Ac2DyIn2, relaxed, DFT PBE; values from VASP
&SYSTEM
  ibrav = 0, nat = 5, ntyp = 3
/
ATOMIC_SPECIES
Ac 227.00 Ac.upf
Dy 162.50 Dy.upf
In 114.82 In.upf
ATOMIC_POSITIONS crystal
Ac 0.198 0.198 0.000
Ac 0.802 0.802 0.000
Dy 0.500 0.000 0.500
In 0.220 0.500 0.720
In 0.780 0.500 0.280
CELL_PARAMETERS angstrom
-2.522 3.530 4.951
2.522 -3.530 4.951
2.522 3.530 -4.951
! space-group type	Immm, No. 71
! magnetization	0.000	μB per formula unit
! DOS at the Fermi energy	1.185	states/eV per atom
! ΔH_f (0 K)	-0.34	eV per atom